Density functional theory data (GGA+U) for AcVO2F after structural relaxation.

Cell: 4.2333 4.2333 4.2445 Å, 90.00 90.00 90.00°
Fractional positions:
Ac1 0.0000 0.0000 0.0000
V1 0.5000 0.5000 0.3638
O1 0.0000 0.5000 0.3061
O2 0.5000 0.0000 0.3061
F1 0.5000 0.5000 0.8572

Results
- Total DFT energy (no corrections): -37.04 eV per formula unit
- Crystal system: tetragonal
- Space group: P4mm